# 1
DFT (PBE-GGA) results for a relaxed TiRuO4 crystal.

## Properties
- M_tot: 1.2 μB/cell
- ΔE_f (raw): -1106 kJ/mol of formula units
- Density of states at the Fermi level: 3.37 states/eV per cell
- Density: 5410 kg/m3

Cell lengths 4.686, 4.686, 2.977 Å; angles 90.00, 90.00, 90.98 degrees
Atoms (fractional coordinates):
Ti 0.000 0.000 0.000
Ru 0.500 0.500 0.500
O 0.194 0.194 0.500
O 0.301 0.699 0.000
O 0.699 0.301 0.000
O 0.806 0.806 0.500

# 2
DFT (PBE-GGA) results for a relaxed TiRuO3 crystal.

## Properties
- M_tot: 4.0 μB/cell
- ΔE_f (raw): -628 kJ/mol of formula units
- Density of states at the Fermi level: 3.93 states/eV per cell
- Density: 5785 kg/m3

Cell lengths 3.838, 3.838, 3.838 Å; angles 90.00, 90.00, 90.00 degrees
Atoms (fractional coordinates):
Ti 0.000 0.000 0.000
Ru 0.500 0.500 0.500
O 0.000 0.000 0.500
O 0.000 0.500 0.000
O 0.500 0.000 0.000

# 3
DFT (PBE-GGA) results for a relaxed Ti3RuO crystal.

## Properties
- M_tot: 0.0 μB/cell
- ΔE_f (raw): 331 kJ/mol of formula units
- Density of states at the Fermi level: 3.04 states/eV per cell
- Density: 4256 kg/m3

Cell lengths 4.668, 4.668, 4.668 Å; angles 90.00, 90.00, 90.00 degrees
Atoms (fractional coordinates):
Ti 0.000 0.000 0.500
Ti 0.000 0.500 0.000
Ti 0.500 0.000 0.000
Ru 0.000 0.000 0.000
O 0.500 0.500 0.500

# 4
DFT (PBE-GGA) results for a relaxed TiTl2RuO crystal.

## Properties
- M_tot: 0.0 μB/cell
- ΔE_f (raw): 99 kJ/mol of formula units
- Density of states at the Fermi level: 7.97 states/eV per cell
- Density: 9644 kg/m3

Cell lengths 5.160, 5.160, 3.710 Å; angles 90.00, 90.00, 90.00 degrees
Atoms (fractional coordinates):
Ti 0.000 0.000 0.000
Tl 0.000 0.500 0.500
Tl 0.500 0.000 0.500
Ru 0.500 0.500 0.000
O 0.500 0.500 0.500

# 5
DFT (PBE-GGA) results for a relaxed TiTlRu2O8 crystal.

## Properties
- M_tot: 2.6 μB/cell
- ΔE_f (raw): -1427 kJ/mol of formula units
- Density of states at the Fermi level: 5.86 states/eV per cell
- Density: 4558 kg/m3

Cell lengths 5.360, 5.360, 8.119 Å; angles 93.14, 93.14, 65.75 degrees
Atoms (fractional coordinates):
Ti 0.000 0.000 0.000
Tl 0.000 0.000 0.500
Ru 0.368 0.368 0.214
Ru 0.632 0.632 0.786
O 0.208 0.733 0.172
O 0.211 0.211 0.061
O 0.267 0.792 0.828
O 0.312 0.312 0.416
O 0.688 0.688 0.584
O 0.733 0.208 0.172
O 0.789 0.789 0.939
O 0.792 0.267 0.828